Density functional theory data (GGA-PBE) for crystalline YPuHgRu at its relaxed geometry.

## Properties
**E_tot**: -7.719 eV per atom
**Offset from the most stable computed form**: 159 meV/atom
**D(E_F)**: 2.8416 states/eV/atom
**ΔH_f (0 K)**: -0.126 eV per atom
**Total magnetization**: 5.387 μB per formula unit

a b c (Å): 7.1409 7.1409 7.1409
angles (deg): 90.00 90.00 90.00
With the nearest neighbours (Å) after each atom.
Space group F-43m (No. 216)
Asymmetric unit:
Y (0.0000, 0.0000, 0.0000)  4 Hg 3.09, 4 Ru 3.09
Pu (0.0000, 0.0000, 0.5000)  4 Ru 3.09, 4 Hg 3.09
Hg (0.2500, 0.2500, 0.7500)  4 Pu 3.09, 4 Y 3.09
Ru (0.2500, 0.2500, 0.2500)  4 Pu 3.09, 4 Y 3.09